# CeDy2Ge3

Crystalline CeDy2Ge3 at its relaxed geometry (PBE, Alexandria via LeMat-Bulk).

Output
Energy of formation ... -656 meV per atom

Cell and atoms, written as POSCAR:
```
CeDy2Ge3
1.0
-2.9524 -2.6764 1.2135
4.0765 -3.2173 2.8223
-1.4923 6.3317 3.1842
Ce Dy Ge
1 2 3
Cartesian
2.0383 -1.6086 1.4112
-1.7880 -0.2037 2.3503
1.4198 0.6417 4.8697
-0.6217 2.2624 3.4771
0.0000 0.0000 0.0000
0.2536 -1.8244 3.7430
```

***

# PmHo3Co

Crystalline PmHo3Co at its relaxed geometry (PBE, Alexandria via LeMat-Bulk).

Output
Energy of formation ... -50 meV per atom

Cell and atoms, written as POSCAR:
```
PmHo3Co
1.0
-4.0529 -4.4969 1.6468
8.6076 0.7141 -0.5538
0.2657 2.4117 7.2393
Pm Ho Co
2 6 2
Cartesian
5.0480 0.5312 5.6772
-0.2276 -1.9022 2.6552
2.0750 2.2361 7.2114
2.7454 -3.6072 1.1210
1.9435 1.0422 3.6277
2.8769 -2.4133 4.7046
-0.0303 -0.6513 6.2575
4.8507 -0.7198 2.0749
8.7818 2.5158 4.8789
-3.9613 -3.8869 3.4534
```

***

# CaAc12Co6

Crystalline CaAc12Co6 at its relaxed geometry (PBE, Alexandria via LeMat-Bulk).

Output
Energy of formation ... -24 meV per atom

Cell and atoms, written as POSCAR:
```
CaAc12Co6
1.0
8.7896 0.0000 -3.1076
-4.3948 7.6121 -3.1076
0.0000 0.0000 9.3228
Ca Ac Co
1 12 6
Cartesian
0.0000 0.0000 0.0000
2.2356 0.9629 6.1612
0.5560 3.8722 -0.7862
3.8389 3.7399 3.8938
2.1592 6.6491 -3.0536
-2.4431 6.1574 0.0540
3.6314 1.4546 0.7862
0.7634 6.1574 2.3214
6.8379 1.4546 3.0536
5.7142 2.4176 -2.3214
0.2839 2.4176 3.1616
4.1110 5.1945 -0.0540
-1.3194 5.1945 5.4290
1.2619 3.8060 5.5537
3.1330 3.8060 -2.4461
0.4678 6.8019 -0.6615
3.9271 0.8102 3.7691
6.1245 2.9958 0.6615
-1.7296 4.6162 2.4461
```

***

# BaReOs4

Crystalline BaReOs4 at its relaxed geometry (PBE, Alexandria via LeMat-Bulk).

Output
Energy of formation ... 1151 meV per atom

Cell and atoms, written as POSCAR:
```
BaReOs4
1.0
5.3171 -0.4941 0.1141
2.8028 2.2101 3.9734
2.3156 -3.1008 3.6813
Ba Re Os
1 1 4
Cartesian
0.0000 0.0000 0.0000
7.8266 -1.0385 5.8266
6.5656 -0.7660 2.9746
5.0718 -2.0633 4.7499
5.3143 0.5799 4.8953
3.9194 -0.5201 2.9178
```